Record 1
DFT (PBE) results for KSi2Ag2 after structural relaxation.

theoretical density	5.16	g/cm3
calculated total energy	-32.8	eV for the cell shown
uncorrected formation energy	251	meV/atom

Lattice parameters (Å, degrees): 8.4774 8.4774 2.7833 90.00 90.00 90.00
Last column: nearest neighbours and their distance in Å.
Fractional coordinates of all 10 atoms:
K 0.0000 0.0000 0.0000  2 K 2.78
K 0.5000 0.5000 0.0000  2 K 2.78
Si 0.1470 0.3530 0.5000  2 Si 2.78, 6 Ag 2.82-2.89
Si 0.3530 0.8530 0.5000  2 Si 2.78, 6 Ag 2.82-2.89
Si 0.6470 0.1470 0.5000  2 Si 2.78, 6 Ag 2.82-2.89
Si 0.8530 0.6470 0.5000  2 Si 2.78, 6 Ag 2.82-2.89
Ag 0.1421 0.6421 0.0000  2 Ag 2.78, 6 Si 2.82-2.89
Ag 0.3579 0.1421 0.0000  2 Ag 2.78, 6 Si 2.82-2.89
Ag 0.6421 0.8579 0.0000  2 Ag 2.78, 6 Si 2.82-2.89
Ag 0.8579 0.3579 0.0000  2 Ag 2.78, 6 Si 2.82-2.89


Record 2
DFT (PBE) results for KSi2Ag2 after structural relaxation.

theoretical density	4.87	g/cm3
calculated total energy	-17.2	eV for the cell shown
uncorrected formation energy	87	meV/atom

Lattice parameters (Å, degrees): 5.9506 5.9506 5.9506 134.32 134.32 66.59
Last column: nearest neighbours and their distance in Å.
Fractional coordinates of all 5 atoms:
K 0.0000 0.0000 0.0000  8 Ag 3.39, 8 Si 3.47
Si 0.3835 0.3835 0.0000  1 Si 2.32
Si 0.6165 0.6165 0.0000  1 Si 2.32
Ag 0.2500 0.7500 0.5000  4 Si 2.66
Ag 0.7500 0.2500 0.5000  4 Si 2.66


Record 3
DFT (PBE) results for KSiAg2 after structural relaxation.

theoretical density	4.98	g/cm3
calculated total energy	-11.1	eV for the cell shown
uncorrected formation energy	287	meV/atom

Lattice parameters (Å, degrees): 3.0563 4.3138 7.2946 90.00 101.30 90.00
Last column: nearest neighbours and their distance in Å.
Fractional coordinates of all 4 atoms:
K 0.0000 0.0000 0.0000  2 K 3.06
Si 0.5000 0.0000 0.5000  4 Ag 2.62
Ag 0.3106 0.5000 0.6740  2 Si 2.62, 1 Ag 2.86
Ag 0.6894 0.5000 0.3260  2 Si 2.62, 1 Ag 2.86


Record 4
DFT (PBE) results for KSiAg2 after structural relaxation.

theoretical density	4.40	g/cm3
calculated total energy	-11.9	eV for the cell shown
uncorrected formation energy	76	meV/atom

Lattice parameters (Å, degrees): 4.5410 4.5410 6.5201 109.76 109.76 59.49
Last column: nearest neighbours and their distance in Å.
Fractional coordinates of all 4 atoms:
K 0.0000 0.0000 0.0000  8 Ag 3.42-3.69
Si 0.5000 0.5000 0.5000  6 Ag 2.64-2.66
Ag 0.1888 0.1888 0.5697  3 Si 2.64-2.66, 3 Ag 2.74-2.75
Ag 0.8112 0.8112 0.4303  3 Si 2.64-2.66, 3 Ag 2.74-2.75


Record 5
DFT (PBE) results for K4SiAg after structural relaxation.

theoretical density	2.17	g/cm3
calculated total energy	-8.9	eV for the cell shown
uncorrected formation energy	631	meV/atom

Lattice parameters (Å, degrees): 6.8147 6.8147 6.8147 60.00 60.00 60.00
Last column: nearest neighbours and their distance in Å.
Fractional coordinates of all 6 atoms:
K 0.1246 0.1246 0.1246  6 K 3.40-3.42
K 0.1246 0.1246 0.6260  6 K 3.40-3.42
K 0.1246 0.6260 0.1246  6 K 3.40-3.42
K 0.6260 0.1246 0.1246  6 K 3.40-3.42
Si 0.7500 0.7500 0.7500  12 K 3.99, 4 Ag 4.17
Ag 0.5000 0.5000 0.5000  12 K 4.00, 4 Si 4.17


Record 6
DFT (PBE) results for KSiAg3 after structural relaxation.

theoretical density	6.12	g/cm3
calculated total energy	-58.7	eV for the cell shown
uncorrected formation energy	80	meV/atom

Lattice parameters (Å, degrees): 8.7978 8.7978 6.2231 100.85 100.85 64.59
Last column: nearest neighbours and their distance in Å.
Fractional coordinates of all 20 atoms:
K 0.0141 0.9859 0.7500  3 K 3.12-3.18, 2 Si 3.35, 6 Ag 3.38-3.45
K 0.3522 0.6478 0.7500  1 K 3.18, 4 Ag 3.28-3.37, 6 Si 3.33-3.36
K 0.6478 0.3522 0.2500  1 K 3.18, 4 Ag 3.28-3.37, 6 Si 3.33-3.36
K 0.9859 0.0141 0.2500  3 K 3.12-3.18, 2 Si 3.35, 6 Ag 3.38-3.45
Si 0.2338 0.5978 0.2047  1 Si 2.44, 4 Ag 2.58-2.69
Si 0.4022 0.7662 0.2953  1 Si 2.44, 4 Ag 2.58-2.69
Si 0.5978 0.2338 0.7047  1 Si 2.44, 4 Ag 2.58-2.69
Si 0.7662 0.4022 0.7953  1 Si 2.44, 4 Ag 2.58-2.69
Ag 0.0221 0.3505 0.5947  1 Si 2.61
Ag 0.0288 0.3386 0.0893  1 Si 2.58
Ag 0.3171 0.3264 0.4140  2 Si 2.68-2.69, 4 Ag 2.91-2.96
Ag 0.3264 0.3171 0.9140  2 Si 2.68-2.69, 4 Ag 2.91-2.96
Ag 0.3386 0.0288 0.5893  1 Si 2.58
Ag 0.3505 0.0221 0.0947  1 Si 2.61
Ag 0.6495 0.9779 0.9053  1 Si 2.61
Ag 0.6614 0.9712 0.4107  1 Si 2.58
Ag 0.6736 0.6829 0.0860  2 Si 2.68-2.69, 4 Ag 2.91-2.96
Ag 0.6829 0.6736 0.5860  2 Si 2.68-2.69, 4 Ag 2.91-2.96
Ag 0.9712 0.6614 0.9107  1 Si 2.58
Ag 0.9779 0.6495 0.4053  1 Si 2.61


Record 7
DFT (PBE) results for KSiAg2 after structural relaxation.

theoretical density	4.33	g/cm3
calculated total energy	-11.9	eV for the cell shown
uncorrected formation energy	92	meV/atom

Lattice parameters (Å, degrees): 4.5289 4.5289 6.6380 109.87 109.87 59.98
Last column: nearest neighbours and their distance in Å.
Fractional coordinates of all 4 atoms:
K 0.0000 0.0000 0.0000  7 Ag 3.40-3.77, 4 Si 3.44-3.74
Si 0.8113 0.8113 0.4372  6 Ag 2.61-2.72
Ag 0.1846 0.1846 0.5573  3 Si 2.71-2.72, 3 Ag 2.72
Ag 0.4764 0.4764 0.4323  3 Si 2.61, 3 Ag 2.72


Record 8
DFT (PBE) results for KSiAg2 after structural relaxation.

theoretical density	5.38	g/cm3
calculated total energy	-10.4	eV for the cell shown
uncorrected formation energy	464	meV/atom

Lattice parameters (Å, degrees): 5.3219 5.3219 3.0910 90.00 90.00 93.83
Last column: nearest neighbours and their distance in Å.
Fractional coordinates of all 4 atoms:
K 0.0000 0.0000 0.0000  8 Ag 3.08, 2 K 3.09
Si 0.5000 0.5000 0.0000  8 Ag 3.08, 2 Si 3.09
Ag 0.0000 0.5000 0.5000  4 K 3.08, 4 Si 3.08, 2 Ag 3.09
Ag 0.5000 0.0000 0.5000  4 K 3.08, 4 Si 3.08, 2 Ag 3.09